The following is a DFT calculation (GGA-PBEsol) of an optimized crystal structure of CaIn2As.

```
CaIn2As
1.0
3.941 0.000 0.000
0.000 4.301 0.000
0.000 -2.151 5.960
In As Ca
2 1 1
direct
0.000 0.041 0.082
0.500 0.454 0.908
0.000 0.277 0.554
0.500 0.730 0.459
```

As for the space group: Amm2 (38). The calculated formation energy is -492 meV per atom. For the density, the calculation gives 5.66 g/cm³.



The following is a DFT calculation (GGA-PBEsol) of an optimized crystal structure of CaIn2As.

```
CaIn2As
1.0
4.194 0.000 0.000
0.000 4.194 0.000
-2.097 -2.097 5.397
Ca In As
1 2 1
direct
0.000 0.000 0.000
0.750 0.250 0.500
0.250 0.750 0.500
0.500 0.500 0.000
```

As for the space group: I4/mmm (139). The calculated formation energy is -422 meV per atom. For the density, the calculation gives 6.03 g/cm³.